[1]
Entry from Alexandria: Cr6P7O24 at its PBEsol-relaxed geometry (SCAN).

mass density = 3.5 g/cm3
raw formation energy = -228.1 kJ/mol of atoms
total energy = -840.25 eV for the cell shown

Geometry as POSCAR:
```
Cr6P7O24
1.0
5.2779 0.0217 0.0000
-1.8400 6.0419 0.0000
0.0000 0.0000 27.4218
Cr P O
12 14 48
direct
0.1422 0.0593 0.3982
0.8578 0.9407 0.6018
0.1422 0.0593 0.1018
0.2418 0.7077 0.9464
0.2133 0.3090 0.6874
0.7867 0.6910 0.3126
0.7582 0.2923 0.4464
0.2418 0.7077 0.5536
0.7582 0.2923 0.0536
0.7867 0.6910 0.1874
0.8578 0.9407 0.8982
0.2133 0.3090 0.8126
0.7374 0.3942 0.8913
0.3494 0.8432 0.8276
0.6506 0.1568 0.3276
0.2626 0.6058 0.1087
0.3424 0.2211 0.9695
0.6506 0.1568 0.1724
0.7374 0.3942 0.6087
0.6576 0.7789 0.0305
0.6598 0.1292 0.7500
0.2626 0.6058 0.3913
0.3494 0.8432 0.6724
0.3402 0.8708 0.2500
0.6576 0.7789 0.4695
0.3424 0.2211 0.5305
0.2210 0.6189 0.6943
0.9581 0.2407 0.7500
0.5913 0.8241 0.9781
0.7790 0.3811 0.3057
0.4808 0.8381 0.6225
0.8380 0.0112 0.3271
0.4087 0.1759 0.0219
0.5253 0.7260 0.2500
0.7865 0.5965 0.4638
0.0927 0.3694 0.4052
0.1705 0.0074 0.9448
0.3744 0.7181 0.4426
0.3744 0.7181 0.0574
0.1620 0.9888 0.8271
0.2135 0.4035 0.5362
0.6070 0.9685 0.7048
0.7865 0.5965 0.0362
0.0419 0.7593 0.2500
0.9150 0.2539 0.8735
0.9073 0.6306 0.9052
0.3930 0.0315 0.2048
0.3930 0.0315 0.2952
0.1620 0.9888 0.6729
0.0927 0.3694 0.0948
0.8380 0.0112 0.1729
0.2210 0.6189 0.8057
0.0850 0.7461 0.1265
0.4747 0.2740 0.7500
0.4856 0.6029 0.1420
0.9073 0.6306 0.5948
0.0850 0.7461 0.3735
0.6256 0.2819 0.9426
0.4856 0.6029 0.3580
0.5144 0.3971 0.8580
0.4808 0.8381 0.8775
0.8295 0.9926 0.0552
0.6256 0.2819 0.5574
0.6070 0.9685 0.7952
0.1705 0.0074 0.5552
0.2135 0.4035 0.9638
0.9150 0.2539 0.6265
0.5144 0.3971 0.6420
0.5192 0.1619 0.3775
0.5913 0.8241 0.5219
0.4087 0.1759 0.4781
0.5192 0.1619 0.1225
0.7790 0.3811 0.1943
0.8295 0.9926 0.4448
```


[2]
Entry from Alexandria: CrP2Pb5O13 at its PBEsol-relaxed geometry (SCAN).

mass density = 6.9 g/cm3
raw formation energy = -183.6 kJ/mol of atoms
total energy = -2156.24 eV for the cell shown

Geometry as POSCAR:
```
CrP2Pb5O13
1.0
9.3364 0.0000 0.0000
0.0000 10.3004 0.0000
0.0000 0.0000 13.5011
Cr P Pb O
4 8 20 52
direct
0.4285 0.2500 0.9997
0.9285 0.7500 0.5003
0.5715 0.7500 0.0003
0.0715 0.2500 0.4997
0.5693 0.0333 0.3404
0.5693 0.4667 0.3404
0.9307 0.0333 0.8404
0.9307 0.4667 0.8404
0.4307 0.9667 0.6596
0.0693 0.5333 0.1596
0.4307 0.5333 0.6596
0.0693 0.9667 0.1596
0.7923 0.0562 0.5778
0.7011 0.7500 0.7660
0.3546 0.7500 0.2220
0.6454 0.2500 0.7780
0.8546 0.2500 0.2780
0.2011 0.2500 0.7340
0.2923 0.9438 0.9222
0.7923 0.4438 0.5778
0.0310 0.2500 0.0218
0.7989 0.7500 0.2660
0.9690 0.7500 0.9782
0.5310 0.7500 0.4782
0.7077 0.0562 0.0778
0.2923 0.5562 0.9222
0.2077 0.9438 0.4222
0.7077 0.4438 0.0778
0.1454 0.7500 0.7220
0.2989 0.2500 0.2340
0.4690 0.2500 0.5218
0.2077 0.5562 0.4222
0.3249 0.7500 0.3878
0.4102 0.3847 0.6736
0.9102 0.6153 0.8264
0.8471 0.7500 0.6095
0.6541 0.3927 0.2594
0.1201 0.5782 0.0554
0.1541 0.8927 0.2406
0.8913 0.8798 0.4339
0.4058 0.4363 0.3321
0.9058 0.5637 0.1679
0.4102 0.1153 0.6736
0.3799 0.9218 0.5554
0.6201 0.4218 0.4446
0.9058 0.9363 0.1679
0.6529 0.7500 0.1095
0.6201 0.0782 0.4446
0.0898 0.1153 0.1736
0.3964 0.7500 0.0210
0.1036 0.7500 0.5210
0.8964 0.2500 0.4790
0.1087 0.1202 0.5661
0.6541 0.1073 0.2594
0.8799 0.4218 0.9446
0.1529 0.2500 0.3905
0.5898 0.8847 0.3264
0.8249 0.2500 0.1122
0.8799 0.0782 0.9446
0.0942 0.0637 0.8321
0.9102 0.8847 0.8264
0.6751 0.2500 0.6122
0.6087 0.8798 0.9339
0.8459 0.1073 0.7594
0.5942 0.5637 0.6679
0.8459 0.3927 0.7594
0.3799 0.5782 0.5554
0.1751 0.7500 0.8878
0.3459 0.6073 0.7406
0.8913 0.6202 0.4339
0.1201 0.9218 0.0554
0.6087 0.6202 0.9339
0.5942 0.9363 0.6679
0.0942 0.4363 0.8321
0.3471 0.2500 0.8905
0.0898 0.3847 0.1736
0.1541 0.6073 0.2406
0.5898 0.6153 0.3264
0.4058 0.0637 0.3321
0.3913 0.3798 0.0661
0.3459 0.8927 0.7406
0.3913 0.1202 0.0661
0.1087 0.3798 0.5661
0.6036 0.2500 0.9790
```


[3]
Entry from Alexandria: Cr2P4Pb3O16 at its PBEsol-relaxed geometry (SCAN).

mass density = 5.5 g/cm3
raw formation energy = -223.8 kJ/mol of atoms
total energy = -926.79 eV for the cell shown

Geometry as POSCAR:
```
Cr2P4Pb3O16
1.0
8.9356 0.0000 -0.0017
0.0000 8.9658 0.0000
-4.1922 0.0000 8.2863
Cr P Pb O
4 8 6 32
direct
0.2483 0.1313 0.7444
0.7517 0.6313 0.7556
0.7517 0.8687 0.2556
0.2483 0.3687 0.2444
0.5745 0.5900 0.3605
0.4255 0.0900 0.1395
0.4255 0.4100 0.6395
0.5745 0.9100 0.8605
0.9806 0.6375 0.1564
0.0194 0.1375 0.3436
0.0194 0.3625 0.8436
0.9806 0.8625 0.6564
0.2987 0.7072 0.0278
0.7013 0.2072 0.4722
0.7013 0.2928 0.9722
0.2987 0.7928 0.5278
0.0000 0.0000 0.0000
0.0000 0.5000 0.5000
0.1572 0.0881 0.5100
0.8428 0.5881 0.9900
0.8428 0.9119 0.4900
0.1572 0.4119 0.0100
0.0956 0.2039 0.2358
0.9044 0.7039 0.2642
0.9044 0.7961 0.7642
0.0956 0.2961 0.7358
0.5888 0.7192 0.2558
0.4112 0.2192 0.2442
0.4112 0.2808 0.7442
0.5888 0.7808 0.7558
0.3860 0.5462 0.2591
0.6140 0.0462 0.2409
0.6140 0.4538 0.7409
0.3860 0.9538 0.7591
0.0807 0.9989 0.7587
0.9193 0.4989 0.7413
0.9193 0.0011 0.2413
0.0807 0.5011 0.2587
0.3921 0.1527 0.9746
0.6079 0.6527 0.5254
0.6079 0.8473 0.0254
0.3921 0.3473 0.4746
0.1011 0.7493 0.1362
0.8989 0.2493 0.3638
0.8989 0.2507 0.8638
0.1011 0.7507 0.6362
0.3121 0.9572 0.1272
0.6879 0.4572 0.3728
0.6879 0.0428 0.8728
0.3121 0.5428 0.6272
```


[4]
Entry from Alexandria: CrP2RhO at its PBEsol-relaxed geometry (SCAN).

mass density = 5.7 g/cm3
raw formation energy = -6.7 kJ/mol of atoms
total energy = -79.53 eV for the cell shown

Geometry as POSCAR:
```
CrP2RhO
1.0
-0.9018 -3.2104 -0.4931
1.8798 0.0996 -4.0866
3.9066 -1.3683 1.7637
Cr Rh O P
1 1 1 2
direct
0.0000 0.0000 0.0000
0.5000 0.5000 0.5000
0.5000 0.0000 0.0000
0.0000 0.0000 0.5000
0.0000 0.5000 0.0000
```


[5]
Entry from Alexandria: CrP2RuO at its PBEsol-relaxed geometry (SCAN).

mass density = 5.6 g/cm3
raw formation energy = 11.7 kJ/mol of atoms
total energy = -79.63 eV for the cell shown

Geometry as POSCAR:
```
CrP2RuO
1.0
-1.6060 0.7252 2.8495
3.3052 -1.9492 2.3589
2.1685 3.9419 0.2189
Ru O P Cr
1 1 2 1
direct
0.5000 0.5000 0.5000
0.5000 0.0000 0.0000
0.0000 0.0000 0.5000
0.0000 0.5000 0.0000
0.0000 0.0000 0.0000
```


[6]
Entry from Alexandria: CrSbP2O8 at its PBEsol-relaxed geometry (SCAN).

mass density = 4.0 g/cm3
raw formation energy = -214.1 kJ/mol of atoms
total energy = -305.85 eV for the cell shown

Geometry as POSCAR:
```
CrSbP2O8
1.0
-0.6520 -3.9348 -2.7217
-1.0015 -3.1140 4.7419
-10.2832 3.6023 0.1938
Cr Sb P O
2 2 4 16
direct
0.5510 0.2500 0.8003
0.4490 0.7500 0.1997
0.0076 0.7500 0.7323
0.9924 0.2500 0.2677
0.6094 0.7500 0.9294
0.0811 0.2500 0.6245
0.9189 0.7500 0.3755
0.3906 0.2500 0.0706
0.3202 0.2500 0.9295
0.2888 0.7500 0.8919
0.7437 0.9639 0.8711
0.7437 0.5361 0.8711
0.2705 0.0440 0.6923
0.2705 0.4560 0.6923
0.7958 0.2500 0.6692
0.9271 0.7500 0.5127
0.0729 0.2500 0.4873
0.2042 0.7500 0.3308
0.7295 0.9560 0.3077
0.7295 0.5440 0.3077
0.2563 0.4639 0.1289
0.2563 0.0361 0.1289
0.7112 0.2500 0.1081
0.6798 0.7500 0.0705
```


[7]
Entry from Alexandria: Cr3SbP4O16 at its PBEsol-relaxed geometry (SCAN).

mass density = 4.0 g/cm3
raw formation energy = -224.8 kJ/mol of atoms
total energy = -289.62 eV for the cell shown

Geometry as POSCAR:
```
Cr3SbP4O16
1.0
4.7899 0.0000 0.0061
0.0000 5.7155 0.0000
-0.1672 0.0000 10.0251
Cr Sb P O
3 1 4 16
direct
0.5631 0.0000 0.7742
0.4381 0.5000 0.2193
0.0563 0.5000 0.7376
0.9523 0.0000 0.2756
0.8557 0.5000 0.4103
0.6164 0.5000 0.9123
0.4009 0.0000 0.0728
0.1225 0.0000 0.6076
0.8491 0.5000 0.5610
0.6775 0.7043 0.3418
0.6775 0.2957 0.3418
0.8074 0.0000 0.6244
0.7157 0.0000 0.0953
0.7686 0.7079 0.8361
0.7686 0.2921 0.8361
0.6819 0.5000 0.0620
0.3266 0.0000 0.9254
0.2602 0.2143 0.1447
0.2602 0.7857 0.1447
0.3011 0.5000 0.8895
0.1518 0.5000 0.3568
0.2707 0.2117 0.6835
0.2707 0.7883 0.6835
0.2070 0.0000 0.4639
```


[8]
Entry from Alexandria: CrSbPO2 at its PBEsol-relaxed geometry (SCAN).

mass density = 5.0 g/cm3
raw formation energy = -43.3 kJ/mol of atoms
total energy = -80.75 eV for the cell shown

Geometry as POSCAR:
```
CrSbPO2
1.0
3.8599 0.0000 0.0000
0.0000 3.8599 0.0000
0.0000 0.0000 5.2787
Sb O P Cr
1 2 1 1
direct
0.0000 0.0000 0.0000
0.0000 0.5000 0.0000
0.5000 0.0000 0.0000
0.0000 0.0000 0.5000
0.5000 0.5000 0.5000
```


[9]
Entry from Alexandria: Ti3CrSb2P6O24 at its PBEsol-relaxed geometry (SCAN).

mass density = 3.7 g/cm3
raw formation energy = -239.0 kJ/mol of atoms
total energy = -442.10 eV for the cell shown

Geometry as POSCAR:
```
Ti3CrSb2P6O24
1.0
8.3500 0.0000 0.0000
4.1750 7.2313 0.0000
4.1750 2.4104 7.5865
Cr Sb Ti O P
1 2 3 24 6
direct
0.8504 0.8504 0.4489
0.9937 0.9937 0.0190
0.4831 0.4831 0.5507
0.1493 0.1493 0.5521
0.3457 0.3457 0.9628
0.6461 0.6461 0.0618
0.1208 0.2886 0.0821
0.2886 0.5085 0.0821
0.0330 0.9479 0.7111
0.5085 0.1208 0.0821
0.0266 0.7298 0.5857
0.2472 0.5950 0.7572
0.3081 0.0330 0.7111
0.4007 0.2472 0.7572
0.2542 0.3572 0.4102
0.5950 0.4007 0.7572
0.0404 0.7030 0.2820
0.3572 0.9785 0.4102
0.6579 0.0266 0.5857
0.9479 0.3081 0.7111
0.3984 0.6126 0.2280
0.7298 0.6579 0.5857
0.6126 0.7610 0.2280
0.7030 0.9745 0.2820
0.7610 0.3984 0.2280
0.9785 0.2542 0.4102
0.5030 0.8888 0.9167
0.9745 0.0404 0.2820
0.6915 0.5030 0.9167
0.8888 0.6915 0.9167
0.0371 0.7491 0.7412
0.4726 0.0371 0.7412
0.2449 0.5437 0.2541
0.5437 0.9573 0.2541
0.9573 0.2449 0.2541
0.7491 0.4726 0.7412
```


[10]
Entry from Alexandria: V3CrSb2P6O24 at its PBEsol-relaxed geometry (SCAN).

mass density = 3.7 g/cm3
raw formation energy = -226.6 kJ/mol of atoms
total energy = -441.85 eV for the cell shown

Geometry as POSCAR:
```
V3CrSb2P6O24
1.0
-6.9089 5.0116 -0.4364
-6.9287 -1.8602 4.6446
-2.0514 5.0535 6.8267
V Cr Sb P O
3 1 2 6 24
direct
0.6460 0.6460 0.0620
0.8544 0.8544 0.4368
0.3551 0.3551 0.9348
0.1451 0.1451 0.5646
0.0002 0.0002 0.9994
0.5015 0.5015 0.4955
0.5354 0.2502 0.2512
0.2502 0.9632 0.2512
0.9632 0.5354 0.2512
0.0380 0.4609 0.7495
0.7516 0.0380 0.7495
0.4609 0.7516 0.7495
0.3007 0.1202 0.0716
0.1202 0.5076 0.0716
0.5076 0.3007 0.0716
0.7314 0.0818 0.2485
0.3766 0.2021 0.4295
0.5596 0.4200 0.2527
0.0818 0.9383 0.2485
0.4200 0.7677 0.2527
0.0076 0.6203 0.5716
0.7677 0.5596 0.2527
0.0595 0.2662 0.7521
0.8005 0.0076 0.5716
0.2021 0.9917 0.4295
0.9383 0.7314 0.2485
0.2330 0.4353 0.7479
0.9917 0.3766 0.4295
0.5837 0.2330 0.7479
0.9222 0.0595 0.7521
0.4353 0.5837 0.7479
0.6203 0.8005 0.5716
0.2662 0.9222 0.7521
0.4912 0.7024 0.9277
0.8787 0.4912 0.9277
0.7024 0.8787 0.9277
```


[11]
Entry from Alexandria: ScCrP2O at its PBEsol-relaxed geometry (SCAN).

mass density = 3.9 g/cm3
raw formation energy = -82.0 kJ/mol of atoms
total energy = -63.90 eV for the cell shown

Geometry as POSCAR:
```
ScCrP2O
1.0
-1.7603 -0.4625 2.9405
0.6097 -4.5917 -0.3573
3.9521 0.3366 2.4188
Sc Cr O P
1 1 1 2
direct
0.5000 0.5000 0.5000
0.0000 0.0000 0.0000
0.5000 0.0000 0.0000
0.0000 0.0000 0.5000
0.0000 0.5000 0.0000
```


[12]
Entry from Alexandria: ScCrPO2 at its PBEsol-relaxed geometry (SCAN).

mass density = 3.3 g/cm3
raw formation energy = -105.7 kJ/mol of atoms
total energy = -60.96 eV for the cell shown

Geometry as POSCAR:
```
ScCrPO2
1.0
-3.4435 0.9464 1.4972
-1.7710 -1.8953 -2.8751
0.0417 -4.4840 2.9302
Sc Cr O P
1 1 2 1
direct
0.0000 0.0000 0.0000
0.5000 0.5000 0.5000
0.0000 0.5000 0.0000
0.5000 0.0000 0.0000
0.0000 0.0000 0.5000
```